This record from Alexandria describes an optimized crystal structure of ScOs2Cl. The functional is PBE.

```
ScOs2Cl
1.0
-1.0864 -4.3592 -0.2644
-3.5195 -1.2950 -2.4877
0.6649 -2.2560 -3.8368
Sc Os Cl
1 2 1
direct
0.5000 0.5000 0.5000
0.2500 0.2500 0.2500
0.7500 0.7500 0.7500
0.0000 0.0000 0.0000
```

As for the formation energy from raw total energies: 0.988 eV/atom. The final energy comes out at -6.67 eV/atom. The energy above the lowest structure with this stoichiometry is 1.101 eV per atom. The calculation puts the size of the total moment at 0.00 μB/f.u.